Computed, not measured: a relaxed structure of Ac2TaN3 at the PBE level of DFT.

## Properties
- Fermi-level density of states: 0.276 states/eV/atom
- Size of the total moment: 0.0 Bohr magnetons per cell
- ΔE to the lowest computed polymorph: 0 meV per atom
- E_form (uncorrected): -113.60 kJ/mol of atoms

Unit cell a=7.3655 b=7.3655 c=7.3655 alpha=150.13 beta=147.10 gamma=45.02
Fractional positions:
Ac 0.1466 0.1466 0.0000
Ac 0.8534 0.8534 0.0000
Ta 0.5000 0.5000 0.0000
N 0.0000 0.5000 0.5000
N 0.3464 0.3464 0.0000
N 0.6536 0.6536 0.0000

=====

Computed, not measured: a relaxed structure of CeEr2Au at the PBE level of DFT.

## Properties
- Fermi-level density of states: 2.034 states/eV/atom
- Size of the total moment: 1.0 Bohr magnetons per cell
- ΔE to the lowest computed polymorph: 141 meV per atom

Unit cell a=10.2596 b=10.2596 c=10.2596 alpha=20.09 beta=20.09 gamma=20.09
Fractional positions:
Ce 0.0000 0.0000 0.0000
Er 0.2380 0.2380 0.2380
Er 0.7620 0.7620 0.7620
Au 0.5000 0.5000 0.5000

=====

Computed, not measured: a relaxed structure of Sr2SmNpP4 at the PBE level of DFT.

## Properties
- Fermi-level density of states: 0.795 states/eV/atom
- Size of the total moment: 2.0 Bohr magnetons per cell
- Uncorrected energy: -6.4335 eV per atom

Unit cell a=7.1873 b=4.1785 c=7.3365 alpha=90.00 beta=108.95 gamma=90.00
Fractional positions:
Sr 0.0000 0.0000 0.0000
Sr 0.5000 0.5000 0.0000
Sm 0.0000 0.5000 0.5000
Np 0.5000 0.0000 0.5000
P 0.2567 0.0000 0.7177
P 0.2749 0.5000 0.2878
P 0.7251 0.5000 0.7122
P 0.7433 0.0000 0.2823